--- one ---
First-principles (PBEsol) data for a relaxed structure of MnTlFe2, as listed in Alexandria.

```
MnTlFe2
1.0
3.1683 0.0000 0.0000
0.0000 4.2215 0.0000
-1.5842 -2.1108 4.1037
Tl Fe Mn
1 2 1
Cartesian
0.0000 2.1108 0.0000 Tl
0.0000 0.0000 1.9242 Fe
1.5842 2.1108 2.1794 Fe
1.5842 0.0000 0.0000 Mn
```



--- two ---
First-principles (PBEsol) data for a relaxed structure of MnTlFe2, as listed in Alexandria.

```
MnTlFe2
1.0
-2.1852 1.8664 1.0781
-1.7026 -2.4361 0.7662
2.4946 -0.0992 5.2279
Mn Fe Tl
1 2 1
Cartesian
-1.9439 -0.2849 0.9222 Mn
0.4892 -0.0194 1.0252 Fe
2.0054 -0.0797 4.2028 Fe
-0.6966 -0.3345 3.5361 Tl
```



Winner for stability: two



--- one ---
First-principles (PBEsol) data for a relaxed structure of MnFeW2, as listed in Alexandria.

```
MnFeW2
1.0
4.2311 0.0000 0.0000
2.1156 3.6643 0.0000
2.1156 1.2214 3.4547
Mn Fe W
1 1 2
Cartesian
2.1156 1.2214 0.8637 Mn
4.2311 2.4429 1.7274 Fe
0.0000 0.0000 0.0000 W
6.3467 3.6643 2.5910 W
```



--- two ---
First-principles (PBEsol) data for a relaxed structure of MnFeW2, as listed in Alexandria.

```
MnFeW2
1.0
-2.0755 -1.9488 -1.0455
2.0101 -1.0645 -2.0062
1.7646 -3.9533 3.8658
W Mn Fe
2 1 1
Cartesian
1.7274 -3.8699 3.7843 W
0.4468 -2.5810 -0.4753 W
1.2816 -4.4511 1.3534 Mn
0.8903 -1.9946 1.9505 Fe
```



Winner for stability: two



--- one ---
First-principles (PBEsol) data for a relaxed structure of Y2MnFe, as listed in Alexandria.

```
Y2MnFe
1.0
3.6688 0.0000 0.0000
1.8344 3.1773 0.0000
1.8344 1.0591 7.3697
Y Fe Mn
2 1 1
Cartesian
5.5033 3.1773 4.8280 Y
5.5033 3.1773 0.6929 Y
3.6688 2.1182 2.8997 Fe
1.8344 1.0591 2.6339 Mn
```



--- two ---
First-principles (PBEsol) data for a relaxed structure of Y2MnFe, as listed in Alexandria.

```
Y2MnFe
1.0
3.2890 0.0000 0.0000
0.0000 4.5128 0.0000
-1.6445 -2.2564 5.1846
Y Fe Mn
2 1 1
Cartesian
1.6445 2.2564 2.8110 Y
1.6445 0.0000 5.0776 Y
1.6445 0.0000 0.4732 Fe
0.0000 0.0000 2.0074 Mn
```



Winner for stability: one



--- one ---
First-principles (PBEsol) data for a relaxed structure of FeNi2Mo, as listed in Alexandria.

```
FeNi2Mo
1.0
2.5287 0.0000 0.0000
0.0000 4.1043 0.0000
0.0000 0.0000 4.4841
Ni Fe Mo
2 1 1
Cartesian
0.0000 0.0000 0.1106 Ni
0.0000 2.0521 3.2102 Ni
1.2643 0.0000 2.4395 Fe
1.2643 2.0521 0.9658 Mo
```



--- two ---
First-principles (PBEsol) data for a relaxed structure of FeNi2Mo, as listed in Alexandria.

```
FeNi2Mo
1.0
2.5353 0.0000 0.0000
0.0000 3.6720 0.0000
0.0000 0.0000 5.0138
Fe Ni Mo
1 2 1
Cartesian
1.2676 1.8360 0.0000 Fe
0.0000 0.0000 1.2093 Ni
0.0000 0.0000 3.8045 Ni
1.2676 1.8360 2.5069 Mo
```



--- three ---
First-principles (PBEsol) data for a relaxed structure of FeNi2Mo, as listed in Alexandria.

```
FeNi2Mo
1.0
3.4928 0.0000 0.0000
0.0000 3.4928 0.0000
-1.7464 -1.7464 3.7479
Ni Mo Fe
2 1 1
Cartesian
1.7464 0.0000 1.8740 Ni
0.0000 1.7464 1.8740 Ni
0.0000 0.0000 0.0000 Mo
1.7464 1.7464 0.0000 Fe
```



--- four ---
First-principles (PBEsol) data for a relaxed structure of FeNi2Mo, as listed in Alexandria.

```
FeNi2Mo
1.0
-0.6622 0.1809 -3.5357
-2.8796 -2.1201 0.4309
-0.2445 3.8133 2.0754
Fe Ni Mo
1 2 1
Cartesian
-1.7709 -0.9696 -1.5524 Fe
-1.3388 1.5123 -1.5064 Ni
0.0000 0.0000 0.0000 Ni
-2.4475 0.3618 0.4769 Mo
```



Winner for stability: three



--- one ---
First-principles (PBEsol) data for a relaxed structure of FeNi2Mo, as listed in Alexandria.

```
FeNi2Mo
1.0
2.5369 0.0000 0.0000
0.0000 2.5369 0.0000
0.0000 0.0000 7.2879
Mo Ni Fe
1 2 1
Cartesian
1.2685 1.2685 3.6440 Mo
0.0000 0.0000 1.7114 Ni
0.0000 0.0000 5.5765 Ni
1.2685 1.2685 0.0000 Fe
```



--- two ---
First-principles (PBEsol) data for a relaxed structure of FeNi2Mo, as listed in Alexandria.

```
FeNi2Mo
1.0
2.5451 0.0000 0.0000
0.0000 2.5451 0.0000
0.0000 0.0000 7.2407
Ni Fe Mo
2 1 1
Cartesian
1.2726 1.2726 1.8136 Ni
0.0000 0.0000 0.1158 Ni
0.0000 0.0000 3.4553 Fe
1.2726 1.2726 5.4773 Mo
```



Winner for stability: one



--- one ---
First-principles (PBEsol) data for a relaxed structure of FeMoOs2, as listed in Alexandria.

```
FeMoOs2
1.0
2.6668 0.0000 -0.0034
0.0000 4.1064 0.0000
-1.1825 0.0000 5.0421
Os Mo Fe
2 1 1
Cartesian
-0.5865 0.0000 3.8594 Os
2.0708 0.0000 1.1793 Os
0.7421 2.0532 2.5194 Mo
1.3334 2.0532 -0.0017 Fe
```



--- two ---
First-principles (PBEsol) data for a relaxed structure of FeMoOs2, as listed in Alexandria.

```
FeMoOs2
1.0
3.7547 0.0000 0.0000
0.0000 3.7821 0.0000
0.0000 0.0000 3.7821
Os Mo Fe
2 1 1
Cartesian
0.0000 0.0000 1.8911 Os
0.0000 1.8911 0.0000 Os
1.8774 0.0000 0.0000 Mo
1.8774 1.8911 1.8911 Fe
```



--- three ---
First-principles (PBEsol) data for a relaxed structure of FeMoOs2, as listed in Alexandria.

```
FeMoOs2
1.0
-2.1422 1.8456 -0.3719
-2.0227 -1.6402 3.5109
2.0947 2.9523 2.5860
Mo Os Fe
1 2 1
Cartesian
0.0360 0.6561 3.0484 Mo
-0.0237 2.3990 1.1071 Os
0.0000 0.0000 0.0000 Os
-2.0824 0.1027 1.5695 Fe
```



Winner for stability: two